(1)
VASP calculation (PBE) on a relaxed structure of Dy2UPd9.

Calculated values
Total magnetization in μB/atom: 0.124
Total energy in eV per atom: -6.400
Space group: P4/mmm, No. 123
Calculated density in kg/m³: 12015

The structure in extended XYZ format:
```
12
Lattice="4.1239 0.0000 0.0000 0.0000 4.1239 0.0000 0.0000 0.0000 12.3589" Properties=species:S:1:pos:R:3 pbc="T T T"
Pd 2.0619 2.0619 0.0000
Dy 0.0000 0.0000 4.1706
Pd 2.0619 2.0619 4.1029
Pd 2.0619 0.0000 10.3554
Pd 0.0000 2.0619 10.3554
Pd 0.0000 2.0619 2.0035
Pd 2.0619 2.0619 8.2560
Pd 0.0000 2.0619 6.1794
Pd 2.0619 0.0000 2.0035
Pd 2.0619 0.0000 6.1794
U 0.0000 0.0000 0.0000
Dy 0.0000 0.0000 8.1883
```

(2)
VASP calculation (PBE) on a relaxed structure of DyU2Pd9.

Calculated values
Total magnetization in μB/atom: 0.339
Total energy in eV per atom: -6.823
Space group: P4/mmm, No. 123
Calculated density in kg/m³: 12484

The structure in extended XYZ format:
```
12
Lattice="4.1363 0.0000 0.0000 0.0000 4.1363 0.0000 0.0000 0.0000 12.4102" Properties=species:S:1:pos:R:3 pbc="T T T"
Pd 0.0000 2.0682 10.3211
Pd 2.0682 2.0682 0.0000
Pd 2.0682 0.0000 10.3211
U 0.0000 0.0000 8.2991
Pd 0.0000 2.0682 2.0891
Pd 2.0682 2.0682 8.2699
Pd 2.0682 2.0682 4.1403
Pd 2.0682 0.0000 2.0891
Pd 0.0000 2.0682 6.2051
U 0.0000 0.0000 4.1111
Pd 2.0682 0.0000 6.2051
Dy 0.0000 0.0000 0.0000
```

(3)
VASP calculation (PBE) on a relaxed structure of Dy3UPd12.

Calculated values
Total magnetization in μB/atom: 0.086
Total energy in eV per atom: -6.282
Space group: P4/mmm, No. 123
Calculated density in kg/m³: 11864

The structure in extended XYZ format:
```
16
Lattice="4.1287 0.0000 0.0000 0.0000 4.1287 0.0000 0.0000 0.0000 16.4430" Properties=species:S:1:pos:R:3 pbc="T T T"
Dy 0.0000 0.0000 4.1731
Pd 2.0643 0.0000 6.1564
Pd 2.0643 2.0643 4.0827
Pd 0.0000 2.0643 1.9915
Pd 2.0643 2.0643 8.2215
Dy 0.0000 0.0000 12.2699
Pd 2.0643 0.0000 14.4515
Pd 2.0643 0.0000 10.2866
Pd 0.0000 2.0643 6.1564
Dy 0.0000 0.0000 8.2215
Pd 0.0000 2.0643 10.2866
Pd 2.0643 0.0000 1.9915
U 0.0000 0.0000 0.0000
Pd 0.0000 2.0643 14.4515
Pd 2.0643 2.0643 0.0000
Pd 2.0643 2.0643 12.3604
```

(4)
VASP calculation (PBE) on a relaxed structure of DyVPd6.

Calculated values
Total magnetization in μB/atom: 0.076
Total energy in eV per atom: -6.166
Space group: P4/mmm, No. 123
Calculated density in kg/m³: 10988

The structure in extended XYZ format:
```
8
Lattice="4.0096 0.0000 0.0000 0.0000 4.0096 0.0000 0.0000 0.0000 8.0085" Properties=species:S:1:pos:R:3 pbc="T T T"
V 0.0000 0.0000 4.0042
Pd 2.0048 0.0000 5.8579
Pd 0.0000 2.0048 5.8579
Dy 0.0000 0.0000 0.0000
Pd 2.0048 2.0048 0.0000
Pd 2.0048 2.0048 4.0042
Pd 0.0000 2.0048 2.1506
Pd 2.0048 0.0000 2.1506
```

(5)
VASP calculation (PBE) on a relaxed structure of DyV2Pd9.

Calculated values
Total magnetization in μB/atom: 0.155
Total energy in eV per atom: -6.237
Space group: P4/mmm, No. 123
Calculated density in kg/m³: 10788

The structure in extended XYZ format:
```
12
Lattice="-3.0415 -2.4958 0.5559 2.5473 -3.0325 0.3220 0.6657 1.8079 11.7587" Properties=species:S:1:pos:R:3 pbc="T T T"
Pd 1.3948 -1.1871 2.3020
Pd 1.6065 -0.6123 6.0404
Dy 0.0000 0.0000 0.0000
V 0.2239 0.6082 3.9558
V 0.4417 1.1997 7.8028
Pd -0.0203 -2.1483 4.4443
Pd 1.8181 -0.0375 9.7787
Pd -1.1879 -0.3439 6.1573
Pd 0.1918 -1.5720 8.1923
Pd -0.2471 -2.7641 0.4390
Pd -0.9763 0.2308 9.8957
Pd -1.3995 -0.9187 2.4189
```

(6)
VASP calculation (PBE) on a relaxed structure of DyVPd.

Calculated values
Total magnetization in μB/atom: 0.000
Total energy in eV per atom: -6.452
Space group: P4/mmm, No. 123
Calculated density in kg/m³: 8892

The structure in extended XYZ format:
```
6
Lattice="5.0277 0.0000 0.0000 -2.5138 2.5149 0.0000 0.0000 0.0000 9.4484" Properties=species:S:1:pos:R:3 pbc="T T T"
Pd 2.5138 0.9772 0.0000
Dy 0.0000 0.9776 1.7163
V 2.5138 0.9785 3.7429
V 2.5138 0.9785 5.7055
Dy 0.0000 0.9776 7.7321
Pd 0.0000 0.9784 4.7242
```

(7)
VASP calculation (PBE) on a relaxed structure of Dy2YPd8.

Calculated values
Total magnetization in μB/atom: 0.000
Total energy in eV per atom: -5.958
Space group: C2/m, No. 12
Calculated density in kg/m³: 10464

The structure in extended XYZ format:
```
11
Lattice="4.2067 0.0000 0.0000 0.0000 6.7750 0.2219 -2.1034 -2.5887 6.9601" Properties=species:S:1:pos:R:3 pbc="T T T"
Pd 2.1034 -0.4771 6.5027
Pd 2.1034 2.5876 1.3726
Dy 0.0000 3.3863 3.1742
Pd 0.0000 -1.0380 4.5104
Pd 2.1034 5.2244 2.6716
Pd 0.0000 4.6634 0.6792
Pd 2.1034 3.6946 5.1655
Pd 0.0000 1.5987 5.8093
Y 2.1034 0.0000 0.0000
Dy 2.1034 0.8001 4.0078
Pd 0.0000 0.4918 2.0164
```

(8)
VASP calculation (PBE) on a relaxed structure of DyY3Pd.

Calculated values
Energy above the lowest structure with this stoichiometry in eV per formula unit: 0.44
Total magnetization in μB/atom: 0.000
Space group: C2/m, No. 12
Calculated density in kg/m³: 5825

The structure in extended XYZ format:
```
10
Lattice="7.2133 -0.0798 -0.1886 -2.0503 6.9162 0.1886 -3.0165 -3.0898 6.1590" Properties=species:S:1:pos:R:3 pbc="T T T"
Y 0.0821 2.0647 1.5477
Pd 0.3233 -0.2442 3.5958
Pd 1.8232 3.9909 2.5632
Y 2.0644 1.6821 4.6113
Dy 2.5828 -1.9506 4.6430
Y -1.5883 1.1995 5.0559
Y 5.2499 -0.7237 1.3591
Dy -0.4362 5.6973 1.5160
Y -3.1033 4.4704 4.7999
Y 3.7349 2.5472 1.1031
```

Question: total magnetization of number 6 (DyVPd)?
Answer: 0.000 μB/atom

Question: What is the formula in the third record?
Answer: Dy3UPd12